## Na3ScRh (PBE-GGA)

Data for crystalline Na3ScRh at its relaxed geometry.

The formation energy from the elements comes out at 1.588 eV/atom. The calculation puts the total energy at -9.7 eV/cell. As for the symmetry: Pm-3m (221).

The structure in POSCAR format:
```
Na3ScRh
1.0
5.516 0.000 0.000
0.000 5.516 0.000
0.000 0.000 5.516
Na Sc Rh
3 1 1
Direct
0.000 0.000 0.500
0.000 0.500 0.000
0.500 0.000 0.000
0.000 0.000 0.000
0.500 0.500 0.500
```

---

## Nd4PtO7 (PBE-GGA)

Data for crystalline Nd4PtO7 at its relaxed geometry.

Its raw formation energy is -2.84 eV/atom. The calculation puts the total energy at -93.9 eV/cell. As for the symmetry: C2/m (12).

The structure in POSCAR format:
```
Nd4PtO7
1.0
6.598 -2.019 0.000
6.598 2.019 0.000
-6.378 0.000 6.824
Nd Pt O
4 1 7
Direct
0.087 0.087 0.396
0.250 0.250 0.161
0.750 0.750 0.839
0.913 0.913 0.604
0.500 0.500 0.000
0.000 0.000 0.000
0.131 0.131 0.692
0.298 0.298 0.447
0.407 0.407 0.108
0.593 0.593 0.892
0.702 0.702 0.553
0.869 0.869 0.308
```

---

## AlPb2I (PBE-GGA)

Data for crystalline AlPb2I at its relaxed geometry.

Its raw formation energy is 0.30 eV/atom. The calculation puts the total energy at -23.0 eV/cell. As for the symmetry: I-42d (122).

The structure in POSCAR format:
```
AlPb2I
1.0
-3.399 3.399 7.478
3.399 -3.399 7.478
3.399 3.399 -7.478
Al Pb I
2 4 2
Direct
0.000 0.000 0.000
0.750 0.250 0.500
0.062 0.625 0.937
0.375 0.312 0.437
0.688 0.125 0.063
0.875 0.938 0.563
0.250 0.750 0.500
0.500 0.500 0.000
```

---

## BaSr2LiCo (PBE-GGA)

Data for crystalline BaSr2LiCo at its relaxed geometry.

The formation energy from the elements comes out at 0.238 eV/atom. The calculation puts the total energy at -13.1 eV/cell. As for the symmetry: P4/mmm (123).

The structure in POSCAR format:
```
BaSr2LiCo
1.0
5.875 0.000 0.000
0.000 5.875 0.000
0.000 0.000 5.904
Ba Sr Li Co
1 2 1 1
Direct
0.000 0.000 0.000
0.000 0.500 0.500
0.500 0.000 0.500
0.500 0.500 0.000
0.000 0.000 0.500
```

---

## NdYTh2 (PBE-GGA)

Data for crystalline NdYTh2 at its relaxed geometry.

The formation energy from the elements comes out at 0.076 eV/atom. The calculation puts the total energy at -25.8 eV/cell. As for the symmetry: P4/mmm (123).

The structure in POSCAR format:
```
NdYTh2
1.0
3.568 0.000 0.000
0.000 3.568 0.000
0.000 0.000 10.356
Nd Y Th
1 1 2
Direct
0.000 0.000 0.000
0.000 0.000 0.500
0.500 0.500 0.253
0.500 0.500 0.747
```

---

## PaInI6 (PBE-GGA)

Data for crystalline PaInI6 at its relaxed geometry.

Its raw formation energy is -0.83 eV/atom. The calculation puts the total energy at -28.2 eV/cell. As for the symmetry: C2/m (12).

The structure in POSCAR format:
```
PaInI6
1.0
4.054 -6.817 0.000
4.054 6.817 0.000
-2.284 0.000 7.641
Pa In I
1 1 6
Direct
0.000 0.000 0.000
0.500 0.500 0.500
0.061 0.366 0.226
0.235 0.235 0.778
0.366 0.061 0.226
0.634 0.939 0.774
0.765 0.765 0.222
0.939 0.634 0.774
```